VASP calculation (PBE) on crystalline Hf3Te4Se2 at its relaxed geometry.

Cell: 3.820 3.820 22.907 Å, 90.00 90.00 120.00°
Positions (direct):
Se 0.000 0.000 0.928
Te 0.667 0.333 0.601
Te 0.667 0.333 0.236
Hf 0.000 0.000 0.317
Hf 0.000 0.000 0.683
Hf 0.667 0.333 0.000
Te 0.667 0.333 0.399
Se 0.000 0.000 0.072
Te 0.667 0.333 0.764

## Properties
- Raw formation energy: -0.838 eV per atom
- SG: P-6m2 (187)



VASP calculation (PBE) on crystalline Ce3YPb4 at its relaxed geometry.

Cell: 4.159 4.159 13.632 Å, 90.00 90.00 90.00°
Each line ends with the local moment (μB).
Positions (direct):
Pb 0.000 0.000 0.377  -0.03
Ce 0.500 0.500 0.500  0.78
Pb 0.000 0.000 0.122  0.01
Pb 0.000 0.000 0.623  -0.03
Ce 0.500 0.500 0.255  0.93
Ce 0.500 0.500 0.745  0.93
Pb 0.000 0.000 0.878  0.01
Y 0.500 0.500 0.000  0.19

## Properties
- SG: P4/mmm (123)
- Formation energy: -0.40 eV per atom



VASP calculation (PBE) on crystalline Ho3TmH8 at its relaxed geometry.

Cell: 5.121 5.121 5.121 Å, 90.00 90.00 90.00°
Positions (direct):
Ho 0.000 0.500 0.500
H 0.752 0.248 0.752
H 0.248 0.248 0.248
H 0.248 0.752 0.248
Ho 0.500 0.500 0.000
Tm 0.000 0.000 0.000
H 0.248 0.752 0.752
H 0.752 0.248 0.248
H 0.248 0.248 0.752
H 0.752 0.752 0.752
Ho 0.500 0.000 0.500
H 0.752 0.752 0.248

## Properties
- SG: Pm-3m (221)



| no. | magnetization (μB/atom) | density of states at the Fermi level (states/eV per atom) | E_tot (Ha/atom) |
| --- | --- | --- | --- |
| 1 | 0.00 | 0.221 | -0.2325 |
| 2 | 0.47 | 2.363 | -0.1944 |
| 3 | 0.00 | 0.226 | -0.1644 |